(1)
# NaAcInSb

NaAcInSb after structural relaxation (PBE-GGA, Alexandria).

Lattice parameters (Å, degrees): 5.628 5.628 5.628 60.00 60.00 60.00
Fractional positions:
1 Ac 0.750 0.750 0.750
2 Na 0.250 0.250 0.250
3 In 0.000 0.000 0.000
4 Sb 0.500 0.500 0.500

Results
Formation energy (no corrections): -1.65 eV per formula unit
Calculated total energy: -3.484 eV per atom
Space group: F-43m (216)
Calculated density: 6.41 g cm⁻³

---

(2)
# NaAcScIn

NaAcScIn after structural relaxation (PBE-GGA, Alexandria).

Lattice parameters (Å, degrees): 5.532 5.532 5.532 60.00 60.00 60.00
Fractional positions:
1 Na 0.000 0.000 0.000
2 In 0.500 0.500 0.500
3 Sc 0.750 0.750 0.750
4 Ac 0.250 0.250 0.250

Results
Calculated total energy: -3.672 eV per atom
Space group: F-43m (216)
Calculated density: 5.68 g cm⁻³
DFT formation energy: -0.05 eV per atom

---

(3)
# NaAc2InSe5

NaAc2InSe5 after structural relaxation (PBE-GGA, Alexandria).

Lattice parameters (Å, degrees): 4.332 9.536 12.676 90.00 90.00 103.13
Fractional positions:
1 In 0.560 0.121 0.955
2 In 0.440 0.879 0.455
3 Se 0.365 0.730 0.001
4 Se 0.684 0.368 0.849
5 Se 0.043 0.087 0.071
6 Se 0.316 0.632 0.349
7 Se 0.504 0.007 0.272
8 Se 0.292 0.584 0.673
9 Se 0.635 0.270 0.501
10 Se 0.708 0.416 0.173
11 Se 0.957 0.913 0.571
12 Se 0.496 0.993 0.772
13 Ac 0.135 0.271 0.308
14 Ac 0.878 0.756 0.183
15 Ac 0.865 0.729 0.808
16 Ac 0.122 0.244 0.683
17 Na 0.789 0.579 0.513
18 Na 0.211 0.421 0.013

Results
Formation energy (no corrections): -13.42 eV per formula unit
Calculated total energy: -4.790 eV per atom
Space group: Cmc2_1 (36)
Calculated density: 6.43 g cm⁻³

---

(4)
# NaAcInSi

NaAcInSi after structural relaxation (PBE-GGA, Alexandria).

Lattice parameters (Å, degrees): 5.419 5.419 5.419 60.00 60.00 60.00
Fractional positions:
1 Na 0.500 0.500 0.500
2 Ac 0.000 0.000 0.000
3 In 0.250 0.250 0.250
4 Si 0.750 0.750 0.750

Results
Formation energy (no corrections): -0.46 eV per formula unit
Calculated total energy: -3.512 eV per atom
Space group: F-43m (216)
Calculated density: 5.80 g cm⁻³

---

(5)
# NaAcInSn

NaAcInSn after structural relaxation (PBE-GGA, Alexandria).

Lattice parameters (Å, degrees): 5.608 5.608 5.608 60.00 60.00 60.00
Fractional positions:
1 Na 0.000 0.000 0.000
2 Ac 0.500 0.500 0.500
3 Sn 0.250 0.250 0.250
4 In 0.750 0.750 0.750

Results
Calculated total energy: -3.379 eV per atom
Space group: F-43m (216)
Calculated density: 6.44 g cm⁻³
DFT formation energy: -0.34 eV per atom

---

(6)
# Na2AcIn2Sn2

Na2AcIn2Sn2 after structural relaxation (PBE-GGA, Alexandria).

Lattice parameters (Å, degrees): 5.083 5.083 9.460 74.42 74.42 60.00
Fractional positions:
1 Ac 0.000 0.000 0.000
2 In 0.437 0.437 0.689
3 In 0.563 0.563 0.311
4 Sn 0.264 0.264 0.207
5 Sn 0.736 0.736 0.793
6 Na 0.144 0.144 0.568
7 Na 0.856 0.856 0.432

Results
Calculated total energy: -3.186 eV per atom
Space group: R-3m (166)
Calculated density: 6.11 g cm⁻³
DFT formation energy: -0.30 eV per atom

---

(7)
# NaSrAcIn

NaSrAcIn after structural relaxation (PBE-GGA, Alexandria).

Lattice parameters (Å, degrees): 5.898 5.898 5.898 60.00 60.00 60.00
Fractional positions:
1 In 0.500 0.500 0.500
2 Sr 0.250 0.250 0.250
3 Ac 0.750 0.750 0.750
4 Na 0.000 0.000 0.000

Results
Calculated total energy: -2.642 eV per atom
Space group: F-43m (216)
Calculated density: 5.18 g cm⁻³
DFT formation energy: -0.18 eV per atom

---

(8)
# NaAcTbIn

NaAcTbIn after structural relaxation (PBE-GGA, Alexandria).

Lattice parameters (Å, degrees): 5.657 5.657 5.657 60.00 60.00 60.00
Fractional positions:
1 Ac 0.250 0.250 0.250
2 Tb 0.750 0.750 0.750
3 Na 0.000 0.000 0.000
4 In 0.500 0.500 0.500

Results
Calculated total energy: -3.311 eV per atom
Space group: F-43m (216)
Calculated density: 6.79 g cm⁻³
DFT formation energy: -0.11 eV per atom

---

(9)
# Na4Ac3InTe8

Na4Ac3InTe8 after structural relaxation (PBE-GGA, Alexandria).

Lattice parameters (Å, degrees): 9.364 9.316 9.361 120.16 120.01 90.00
Fractional positions:
1 Te 0.249 0.249 0.499
2 Te 0.762 0.258 0.995
3 Te 0.751 0.751 0.501
4 Te 0.767 0.742 0.005
5 Te 0.238 0.742 0.005
6 Te 0.237 0.742 0.474
7 Te 0.763 0.258 0.526
8 Te 0.233 0.258 0.995
9 Na 0.000 0.000 0.500
10 Na 0.500 0.000 0.500
11 Na 0.000 0.000 0.000
12 Na 0.500 0.000 0.000
13 Ac 0.500 0.500 0.500
14 Ac 0.500 0.500 0.000
15 Ac 0.000 0.500 0.500
16 In 0.000 0.500 0.000

Results
Formation energy (no corrections): -18.31 eV per formula unit
Calculated total energy: -3.987 eV per atom
Space group: R-3m (166)
Calculated density: 5.50 g cm⁻³

---

(10)
# NaAc2InTe4

NaAc2InTe4 after structural relaxation (PBE-GGA, Alexandria).

Lattice parameters (Å, degrees): 4.784 8.351 8.290 70.58 90.00 90.00
Fractional positions:
1 Na 0.000 0.500 0.500
2 Ac 0.000 0.000 0.000
3 Ac 0.500 0.000 0.500
4 Te 0.000 0.238 0.255
5 Te 0.500 0.759 0.248
6 Te 0.500 0.241 0.752
7 Te 0.000 0.762 0.745
8 In 0.500 0.500 0.000

Results
Formation energy (no corrections): -9.74 eV per formula unit
Calculated total energy: -4.323 eV per atom
Space group: P2/m (10)
Calculated density: 5.86 g cm⁻³

---

(11)
# NaAc2InTe5

NaAc2InTe5 after structural relaxation (PBE-GGA, Alexandria).

Lattice parameters (Å, degrees): 4.583 10.310 13.526 90.00 90.00 102.84
Fractional positions:
1 Te 0.708 0.417 0.173
2 Te 0.364 0.727 0.999
3 Te 0.043 0.085 0.076
4 Te 0.499 0.998 0.775
5 Te 0.501 0.002 0.275
6 Te 0.957 0.915 0.576
7 Te 0.688 0.376 0.843
8 Te 0.636 0.273 0.499
9 Te 0.292 0.583 0.673
10 Te 0.312 0.624 0.343
11 Ac 0.868 0.736 0.808
12 Ac 0.121 0.241 0.681
13 Ac 0.132 0.264 0.308
14 Ac 0.879 0.759 0.181
15 In 0.431 0.862 0.457
16 In 0.569 0.138 0.957
17 Na 0.790 0.579 0.512
18 Na 0.210 0.421 0.012

Results
Formation energy (no corrections): -10.35 eV per formula unit
Calculated total energy: -4.259 eV per atom
Space group: Cmc2_1 (36)
Calculated density: 6.55 g cm⁻³

---

(12)
# Na2Ac3Tl4In2

Na2Ac3Tl4In2 after structural relaxation (PBE-GGA, Alexandria).

Lattice parameters (Å, degrees): 5.046 5.046 17.171 90.00 90.00 120.00
Fractional positions:
1 Tl 0.667 0.333 0.635
2 Tl 0.333 0.667 0.896
3 Tl 0.667 0.333 0.104
4 Tl 0.333 0.667 0.365
5 In 0.667 0.333 0.845
6 In 0.333 0.667 0.155
7 Ac 0.000 0.000 0.261
8 Ac 0.000 0.000 0.739
9 Ac 0.000 0.000 0.000
10 Na 0.667 0.333 0.440
11 Na 0.333 0.667 0.560

Results
Calculated total energy: -2.936 eV per atom
Space group: P-3m1 (164)
Calculated density: 7.78 g cm⁻³
DFT formation energy: -0.22 eV per atom

---

(13)
# NaAcYIn

NaAcYIn after structural relaxation (PBE-GGA, Alexandria).

Lattice parameters (Å, degrees): 5.655 5.655 5.655 60.00 60.00 60.00
Fractional positions:
1 Ac 0.500 0.500 0.500
2 Na 0.750 0.750 0.750
3 Y 0.000 0.000 0.000
4 In 0.250 0.250 0.250

Results
Calculated total energy: -3.785 eV per atom
Space group: F-43m (216)
Calculated density: 5.89 g cm⁻³
DFT formation energy: -0.13 eV per atom

---

(14)
# NaAcZnIn

NaAcZnIn after structural relaxation (PBE-GGA, Alexandria).

Lattice parameters (Å, degrees): 5.476 5.476 5.476 60.00 60.00 60.00
Fractional positions:
1 Ac 0.500 0.500 0.500
2 Na 0.000 0.000 0.000
3 In 0.250 0.250 0.250
4 Zn 0.750 0.750 0.750

Results
Calculated total energy: -2.538 eV per atom
Space group: F-43m (216)
Calculated density: 6.15 g cm⁻³
DFT formation energy: -0.18 eV per atom

---

(15)
# AcNbIn

AcNbIn after structural relaxation (PBE-GGA, Alexandria).

Lattice parameters (Å, degrees): 5.404 3.820 11.901 90.00 90.00 135.02
Fractional positions:
1 Ac 0.195 0.389 0.798
2 Ac 0.195 0.389 0.202
3 Nb 0.694 0.388 0.601
4 Nb 0.694 0.388 0.399
5 In 0.194 0.388 0.500
6 In 0.695 0.390 0.000

Results
Calculated total energy: -5.578 eV per atom
Space group: P4/mmm (123)
Calculated density: 8.31 g cm⁻³
DFT formation energy: 0.06 eV per atom

---

(16)
# AcNbIn2O8

AcNbIn2O8 after structural relaxation (PBE-GGA, Alexandria).

Lattice parameters (Å, degrees): 4.979 4.980 7.109 90.00 90.00 89.32
Fractional positions:
1 In 0.500 0.500 0.232
2 In 0.500 0.500 0.768
3 O 0.193 0.806 0.794
4 O 0.666 0.667 0.500
5 O 0.334 0.333 0.500
6 O 0.807 0.194 0.206
7 O 0.709 0.710 0.000
8 O 0.291 0.290 0.000
9 O 0.193 0.806 0.206
10 O 0.807 0.194 0.794
11 Ac 0.000 0.000 0.500
12 Nb 0.000 0.000 0.000

Results
Formation energy (no corrections): -23.12 eV per formula unit
Calculated total energy: -6.870 eV per atom
Space group: Cmmm (65)
Calculated density: 6.38 g cm⁻³

---

(17)
# AcNd2In9

AcNd2In9 after structural relaxation (PBE-GGA, Alexandria).

Lattice parameters (Å, degrees): 4.788 4.788 14.373 90.00 90.00 90.00
Fractional positions:
1 In 0.000 0.500 0.825
2 In 0.500 0.000 0.825
3 In 0.500 0.000 0.500
4 In 0.500 0.500 0.664
5 In 0.000 0.500 0.175
6 In 0.500 0.000 0.175
7 In 0.500 0.500 0.336
8 In 0.000 0.500 0.500
9 In 0.500 0.500 0.000
10 Nd 0.000 0.000 0.339
11 Nd 0.000 0.000 0.661
12 Ac 0.000 0.000 0.000

Results
Calculated total energy: -3.634 eV per atom
Space group: P4/mmm (123)
Calculated density: 7.81 g cm⁻³
DFT formation energy: -0.44 eV per atom

---

(18)
# AcNd8In6

AcNd8In6 after structural relaxation (PBE-GGA, Alexandria).

Lattice parameters (Å, degrees): 9.421 9.421 8.571 56.66 56.66 60.00
Fractional positions:
1 Nd 0.556 0.216 0.345
2 Nd 0.668 0.668 0.995
3 Nd 0.784 0.117 0.655
4 Nd 0.444 0.784 0.655
5 Nd 0.332 0.332 0.005
6 Nd 0.883 0.556 0.345
7 Nd 0.117 0.444 0.655
8 Nd 0.216 0.883 0.345
9 In 0.601 0.943 0.167
10 In 0.399 0.057 0.833
11 In 0.057 0.712 0.833
12 In 0.943 0.288 0.167
13 In 0.288 0.601 0.167
14 In 0.712 0.399 0.833
15 Ac 0.000 0.000 0.000

Results
Calculated total energy: -4.145 eV per atom
Space group: R-3 (148)
Calculated density: 6.75 g cm⁻³
DFT formation energy: -0.23 eV per atom

---

(19)
# Ac8Nd2In

Ac8Nd2In after structural relaxation (PBE-GGA, Alexandria).

Lattice parameters (Å, degrees): 5.980 8.559 10.159 110.97 107.12 90.00
Fractional positions:
1 Ac 0.982 0.235 0.964
2 Ac 0.392 0.567 0.783
3 Ac 0.821 0.773 0.642
4 Ac 0.179 0.227 0.358
5 Ac 0.336 0.078 0.671
6 Ac 0.018 0.765 0.036
7 Ac 0.608 0.433 0.217
8 Ac 0.664 0.922 0.329
9 Nd 0.808 0.341 0.617
10 Nd 0.192 0.659 0.383
11 In 0.500 0.000 0.000

Results
Calculated total energy: -4.097 eV per atom
Space group: C2/m (12)
Calculated density: 8.00 g cm⁻³
DFT formation energy: 0.01 eV per atom

---

(20)
# Ac4NdIn

Ac4NdIn after structural relaxation (PBE-GGA, Alexandria).

Lattice parameters (Å, degrees): 3.951 3.951 15.350 90.00 90.00 90.00
Fractional positions:
1 Ac 0.000 0.000 0.358
2 Ac 0.000 0.000 0.642
3 Ac 0.500 0.500 0.171
4 Ac 0.500 0.500 0.829
5 Nd 0.000 0.000 0.000
6 In 0.500 0.500 0.500

Results
Calculated total energy: -4.104 eV per atom
Space group: P4/mmm (123)
Calculated density: 8.09 g cm⁻³
DFT formation energy: -0.11 eV per atom

---

(21)
# Ac4Nd5In

Ac4Nd5In after structural relaxation (PBE-GGA, Alexandria).

Lattice parameters (Å, degrees): 3.849 3.849 25.284 90.00 90.00 90.00
Fractional positions:
1 Ac 0.000 0.000 0.183
2 Ac 0.000 0.000 0.395
3 Ac 0.000 0.000 0.605
4 Ac 0.000 0.000 0.817
5 Nd 0.500 0.500 0.500
6 Nd 0.500 0.500 0.289
7 Nd 0.500 0.500 0.079
8 Nd 0.500 0.500 0.921
9 Nd 0.500 0.500 0.711
10 In 0.000 0.000 0.000

Results
Calculated total energy: -4.375 eV per atom
Space group: P4/mmm (123)
Calculated density: 7.73 g cm⁻³
DFT formation energy: -0.07 eV per atom

---

(22)
# Ac2Nd2In

Ac2Nd2In after structural relaxation (PBE-GGA, Alexandria).

Lattice parameters (Å, degrees): 4.076 6.937 7.149 82.54 73.44 72.91
Fractional positions:
1 Ac 0.417 0.789 0.378
2 Ac 0.583 0.211 0.622
3 Nd 0.756 0.654 0.834
4 Nd 0.244 0.346 0.166
5 In 0.000 0.000 0.000

Results
Calculated total energy: -4.254 eV per atom
Space group: C2/m (12)
Calculated density: 7.70 g cm⁻³
DFT formation energy: -0.16 eV per atom

---

(23)
# Ac2NdIn

Ac2NdIn after structural relaxation (PBE-GGA, Alexandria).

Lattice parameters (Å, degrees): 5.970 6.559 7.345 90.09 90.00 90.00
Fractional positions:
1 In 0.250 0.344 0.250
2 In 0.750 0.656 0.750
3 Ac 0.750 0.166 0.002
4 Ac 0.250 0.834 0.998
5 Ac 0.750 0.165 0.495
6 Ac 0.250 0.835 0.505
7 Nd 0.250 0.371 0.750
8 Nd 0.750 0.629 0.250

Results
Calculated total energy: -4.100 eV per atom
Space group: P2_1/m (11)
Calculated density: 8.23 g cm⁻³
DFT formation energy: -0.17 eV per atom

---

(24)
# AcNd2In

AcNd2In after structural relaxation (PBE-GGA, Alexandria).

Lattice parameters (Å, degrees): 5.724 5.724 5.724 60.00 60.00 60.00
Fractional positions:
1 In 0.500 0.500 0.500
2 Nd 0.250 0.250 0.250
3 Nd 0.750 0.750 0.750
4 Ac 0.000 0.000 0.000

Results
Calculated total energy: -4.187 eV per atom
Space group: Fm-3m (225)
Calculated density: 7.89 g cm⁻³
DFT formation energy: -0.09 eV per atom